VASP calculation (PBE+U) on a geometry-optimized CoNiO structure.

## Properties
- magnetization (μB/cell) = 14.89
- VASP energy (eV per atom) = -4.34
- V (Å³/f.u.) = 35.8
- D(E_F) (states/eV/cell) = 2.15

Cell and atoms, written as POSCAR:
```
CoNiO
1.0
2.868 0.000 0.000
0.000 8.412 0.000
0.000 0.000 5.940
Ni O Co
4 4 4
direct
0.500 0.959 0.915
0.000 0.190 0.060
0.500 0.810 0.560
0.000 0.041 0.415
0.500 0.447 0.664
0.500 0.210 0.332
0.000 0.553 0.164
0.000 0.790 0.832
0.000 0.785 0.197
0.500 0.215 0.697
0.000 0.550 0.833
0.500 0.450 0.333
```